[1]
VASP calculation (PBE) on an optimized crystal structure of CrOsI2N.

Calculated values
Density (g cm⁻³): 7.765
Energy above the most stable polymorph in this dataset (kJ/mol of formula units): 482
Crystal system: tetragonal

abc: 5.4356 3.6917 5.4356
angles: 90.00 90.00 90.00
Site moments in Bohr magnetons follow the coordinates.
Element x y z (fractional)
Cr 0.5000 0.5000 0.5000  0.38
Os 0.0000 0.5000 0.0000  0.28
I 0.0000 0.0000 0.5000  0.03
I 0.5000 0.0000 0.0000  0.02
N 0.0000 0.0000 0.0000  0.00

=====

[2]
VASP calculation (PBE) on an optimized crystal structure of CrOsI2N.

Calculated values
Density (g cm⁻³): 8.573
Energy above the most stable polymorph in this dataset (kJ/mol of formula units): 238
Crystal system: tetragonal

abc: 5.3188 5.3188 3.4920
angles: 90.00 90.00 90.00
Site moments in Bohr magnetons follow the coordinates.
Element x y z (fractional)
N 0.0000 0.0000 0.5000  -0.28
Cr 0.0000 0.0000 0.0000  2.09
I 0.0000 0.5000 0.0000  -0.04
I 0.5000 0.0000 0.0000  -0.04
Os 0.5000 0.5000 0.5000  -0.02

=====

Number 1: raw formation energy 161 kJ/mol of atoms, energy -4.7876 eV per atom. Number 2: raw formation energy 112 kJ/mol of atoms, energy -5.2936 eV per atom.